1.
A relaxed TcBPCS crystal, computed with GGA-PBE.

Calculated values
Density of states at the Fermi level, states/eV/f.u.: 3.3
Symmetry: Cm (8)
Energy, eV/atom: -6.940
Polymorph energy (0 for the lowest one), meV/atom: 284
M_tot, μB/f.u.: 0.00

Lattice parameters (Å, degrees): 4.3278 4.3278 8.1434 111.14 111.14 37.36
Sites, in units of the cell vectors:
1 Tc 0.0000 0.0000 0.0000
2 B 0.7236 0.7236 0.8378
3 P 0.8918 0.8918 0.6744
4 C 0.1233 0.1233 0.8056
5 S 0.4982 0.4982 0.2179

=====

2.
A relaxed TcBPCS crystal, computed with GGA-PBE.

Calculated values
Density of states at the Fermi level, states/eV/f.u.: 3.2
Symmetry: Cm (8)
Energy, eV/atom: -7.088
Polymorph energy (0 for the lowest one), meV/atom: 136
M_tot, μB/f.u.: 0.56

Lattice parameters (Å, degrees): 4.1734 4.1734 5.6730 99.26 99.26 40.03
Sites, in units of the cell vectors:
1 Tc 0.0000 0.0000 0.0000
2 B 0.3573 0.3573 0.5339
3 P 0.5948 0.5948 0.7145
4 C 0.8051 0.8051 0.6440
5 S 0.3115 0.3115 0.1830

=====

3.
A relaxed TcBPCS crystal, computed with GGA-PBE.

Calculated values
Density of states at the Fermi level, states/eV/f.u.: 2.1
Symmetry: P1 (1)
Energy, eV/atom: -6.845
Polymorph energy (0 for the lowest one), meV/atom: 379
M_tot, μB/f.u.: 0.00

Lattice parameters (Å, degrees): 2.9401 4.0138 7.3459 74.85 79.34 83.76
Sites, in units of the cell vectors:
1 Tc 0.0000 0.0000 0.0000
2 B 0.6279 0.6216 0.9577
3 P 0.2175 0.1715 0.2793
4 C 0.7424 0.4079 0.1633
5 S 0.5600 0.3613 0.7848

=====

4.
A relaxed TcBPCS crystal, computed with GGA-PBE.

Calculated values
Density of states at the Fermi level, states/eV/f.u.: 2.6
Symmetry: Cm (8)
Energy, eV/atom: -6.933
Polymorph energy (0 for the lowest one), meV/atom: 291
M_tot, μB/f.u.: 0.00

Lattice parameters (Å, degrees): 4.3436 4.3436 5.3386 93.89 93.89 37.69
Sites, in units of the cell vectors:
1 Tc 0.0000 0.0000 0.0000
2 B 0.7528 0.7528 0.2866
3 P 0.9845 0.9845 0.4978
4 C 0.1661 0.1661 0.3352
5 S 0.7191 0.7191 0.9001

=====

5.
A relaxed ScBPC2 crystal, computed with GGA-PBE.

Calculated values
Density of states at the Fermi level, states/eV/f.u.: 3.2
Symmetry: P4/mmm (123)
DFT formation energy, meV/atom: 1133
Energy, eV/atom: -6.240
M_tot, μB/f.u.: 0.00

Lattice parameters (Å, degrees): 3.7298 3.7298 3.7398 90.00 90.00 90.00
Sites, in units of the cell vectors:
1 Sc 0.0000 0.0000 0.0000
2 B 0.5000 0.5000 0.0000
3 P 0.5000 0.5000 0.5000
4 C 0.0000 0.5000 0.5000
5 C 0.5000 0.0000 0.5000

=====

6.
A relaxed Sr2BPC crystal, computed with GGA-PBE.

Calculated values
Density of states at the Fermi level, states/eV/f.u.: 2.8
Symmetry: P4/mmm (123)
DFT formation energy, meV/atom: 887
Energy, eV/atom: -4.048
M_tot, μB/f.u.: 0.21

Lattice parameters (Å, degrees): 5.7313 5.7313 3.6254 90.00 90.00 90.00
Sites, in units of the cell vectors:
1 Sr 0.0000 0.5000 0.0000
2 Sr 0.5000 0.0000 0.0000
3 B 0.0000 0.0000 0.5000
4 P 0.5000 0.5000 0.0000
5 C 0.5000 0.5000 0.5000

=====

7.
A relaxed B2PWC crystal, computed with GGA-PBE.

Calculated values
Density of states at the Fermi level, states/eV/f.u.: 4.5
Symmetry: P4/mmm (123)
DFT formation energy, meV/atom: 1952
Energy, eV/atom: -6.237
M_tot, μB/f.u.: 0.00

Lattice parameters (Å, degrees): 4.2649 4.2649 4.0346 90.00 90.00 90.00
Sites, in units of the cell vectors:
1 B 0.0000 0.5000 0.0000
2 B 0.5000 0.0000 0.0000
3 P 0.0000 0.0000 0.5000
4 W 0.5000 0.5000 0.0000
5 C 0.5000 0.5000 0.5000

=====

8.
A relaxed YBP2C crystal, computed with GGA-PBE.

Calculated values
Density of states at the Fermi level, states/eV/f.u.: 3.1
Symmetry: P4/mmm (123)
DFT formation energy, meV/atom: 314
Energy, eV/atom: -6.323
M_tot, μB/f.u.: 0.00

Lattice parameters (Å, degrees): 5.1023 5.1023 2.9163 90.00 90.00 90.00
Sites, in units of the cell vectors:
1 Y 0.0000 0.0000 0.0000
2 B 0.5000 0.5000 0.5000
3 P 0.0000 0.5000 0.5000
4 P 0.5000 0.0000 0.5000
5 C 0.5000 0.5000 0.0000

=====

9.
A relaxed ZrBP2C crystal, computed with GGA-PBE.

Calculated values
Density of states at the Fermi level, states/eV/f.u.: 4.4
Symmetry: P4/mmm (123)
DFT formation energy, meV/atom: 2234
Energy, eV/atom: -4.820
M_tot, μB/f.u.: 1.45

Lattice parameters (Å, degrees): 5.0007 5.0007 4.5482 90.00 90.00 90.00
Sites, in units of the cell vectors:
1 Zr 0.0000 0.0000 0.0000
2 B 0.0000 0.0000 0.5000
3 P 0.0000 0.5000 0.0000
4 P 0.5000 0.0000 0.0000
5 C 0.5000 0.5000 0.5000

=====

10.
A relaxed Pa4BC3 crystal, computed with GGA-PBE.

Calculated values
Density of states at the Fermi level, states/eV/f.u.: 6.4
Symmetry: Pm-3m (221)
DFT formation energy, meV/atom: -331
Energy, eV/atom: -9.372
M_tot, μB/f.u.: 0.00

Lattice parameters (Å, degrees): 5.1242 5.1242 5.1242 90.00 90.00 90.00
Sites, in units of the cell vectors:
1 Pa 0.0000 0.0000 0.0000
2 Pa 0.0000 0.5000 0.5000
3 Pa 0.5000 0.0000 0.5000
4 Pa 0.5000 0.5000 0.0000
5 B 0.5000 0.5000 0.5000
6 C 0.0000 0.0000 0.5000
7 C 0.0000 0.5000 0.0000
8 C 0.5000 0.0000 0.0000

=====

11.
A relaxed Pa2BC3 crystal, computed with GGA-PBE.

Calculated values
Density of states at the Fermi level, states/eV/f.u.: 3.5
Symmetry: Fmmm (69)
DFT formation energy, meV/atom: -215
Energy, eV/atom: -9.106
M_tot, μB/f.u.: 0.56

Lattice parameters (Å, degrees): 6.7812 6.6126 5.0358 69.70 66.15 44.15
Sites, in units of the cell vectors:
1 Pa 0.1938 0.8062 0.8062
2 Pa 0.2500 0.2500 0.2500
3 Pa 0.7500 0.7500 0.7500
4 Pa 0.8062 0.1938 0.1938
5 B 0.3543 0.3543 0.6457
6 B 0.6457 0.6457 0.3543
7 C 0.2161 0.2161 0.7839
8 C 0.2518 0.6178 0.3822
9 C 0.3822 0.7482 0.2518
10 C 0.6178 0.2518 0.7482
11 C 0.7482 0.3822 0.6178
12 C 0.7839 0.7839 0.2161

=====

12.
A relaxed Pa3BC5 crystal, computed with GGA-PBE.

Calculated values
Density of states at the Fermi level, states/eV/f.u.: 5.9
Symmetry: I4/mcm (140)
DFT formation energy, meV/atom: -2
Energy, eV/atom: -9.033
M_tot, μB/f.u.: 0.00

Lattice parameters (Å, degrees): 7.0300 7.0300 7.0300 124.63 124.63 82.14
Sites, in units of the cell vectors:
1 Pa 0.1716 0.6716 0.8432
2 Pa 0.2500 0.2500 0.0000
3 Pa 0.3284 0.1716 0.5000
4 Pa 0.6716 0.8284 0.5000
5 Pa 0.7500 0.7500 0.0000
6 Pa 0.8284 0.3284 0.1568
7 B 0.2500 0.7500 0.5000
8 B 0.7500 0.2500 0.5000
9 C 0.0000 0.0000 0.0000
10 C 0.0089 0.7979 0.5000
11 C 0.2021 0.7021 0.2110
12 C 0.2979 0.5089 0.5000
13 C 0.4911 0.9911 0.7890
14 C 0.5000 0.5000 0.0000
15 C 0.5089 0.0089 0.2110
16 C 0.7021 0.4911 0.5000
17 C 0.7979 0.2979 0.7890
18 C 0.9911 0.2021 0.5000

=====

13.
A relaxed PaB6C2 crystal, computed with GGA-PBE.

Calculated values
Density of states at the Fermi level, states/eV/f.u.: 3.5
Symmetry: C2/m (12)
DFT formation energy, meV/atom: 365
Energy, eV/atom: -7.192
M_tot, μB/f.u.: 0.00

Lattice parameters (Å, degrees): 5.4580 5.4580 3.8411 102.19 102.19 72.00
Sites, in units of the cell vectors:
1 Pa 0.0000 0.0000 0.0000
2 B 0.0596 0.6088 0.4174
3 B 0.3690 0.6310 0.5000
4 B 0.3912 0.9404 0.5826
5 B 0.6088 0.0596 0.4174
6 B 0.6310 0.3690 0.5000
7 B 0.9404 0.3912 0.5826
8 C 0.1777 0.1777 0.6317
9 C 0.8223 0.8223 0.3683